## Rb3Np2CuTe6 (PBE)

Data for a relaxed structure of Rb3Np2CuTe6.

Summary:
Formation energy from raw total energies = -0.68 eV/atom

```
data_Rb3Np2CuTe6
_cell_length_a 7.761
_cell_length_b 13.405
_cell_length_c 8.848
_cell_angle_alpha 90.00
_cell_angle_beta 107.02
_cell_angle_gamma 90.00
_space_group_name_H-M_alt 'C 1 2/m 1'
_space_group_IT_number 12
loop_
_space_group_symop_operation_xyz
'x,y,z'
'-x,-y,-z'
'-x,y,-z'
'x,-y,z'
'x+1/2,y+1/2,z'
'-x+1/2,-y+1/2,-z'
'-x+1/2,y+1/2,-z'
'x+1/2,-y+1/2,z'
loop_
_atom_site_label
_atom_site_type_symbol
_atom_site_fract_x
_atom_site_fract_y
_atom_site_fract_z
Rb1 Rb 0.000 0.000 0.000
Rb2 Rb 0.000 0.332 0.000
Np1 Np 0.000 0.167 0.500
Cu1 Cu 0.000 0.500 0.500
Te1 Te 0.225 0.338 0.689
Te2 Te 0.238 0.000 0.691
```